## Ba3Tc2HgO9 (PBE)

Data for Ba3Tc2HgO9 after structural relaxation.

abc: 5.8848 5.8848 7.3235
angles: 90.00 90.00 120.00
Space group P-3m1 (No. 164)
Asymmetric unit:
Ba 0.0000 0.0000 0.0000 (multiplicity 1)
Ba 0.3333 0.6667 0.6563 (multiplicity 2)
Tc 0.3333 0.6667 0.1489 (multiplicity 2)
Hg 0.0000 0.0000 0.5000 (multiplicity 1)
O 0.0000 0.5000 0.0000 (multiplicity 3)
O 0.1794 0.3588 0.3054 (multiplicity 6)

ΔE_f (raw): -1.838 eV per atom

## Na3Er2MgSe6 (PBE)

Data for Na3Er2MgSe6 after structural relaxation.

abc: 7.006 12.141 7.419
angles: 90.00 108.38 90.00
Space group C2/m (No. 12)
Asymmetric unit:
Na 0.000 0.000 0.000 (multiplicity 2)
Na 0.000 0.332 0.000 (multiplicity 4)
Er 0.000 0.166 0.500 (multiplicity 4)
Mg 0.000 0.500 0.500 (multiplicity 2)
Se 0.239 0.336 0.726 (multiplicity 8)
Se 0.247 0.000 0.726 (multiplicity 4)

ΔE_f (raw): -1.430 eV per atom

## Th2ScP3Rh4 (PBE)

Data for Th2ScP3Rh4 after structural relaxation.

abc: 4.016 4.016 10.987
angles: 90.00 90.00 90.00
Space group P-4m2 (No. 115)
Asymmetric unit:
Th 0.000 0.500 0.229 (multiplicity 2)
Sc 0.000 0.000 0.500 (multiplicity 1)
P 0.000 0.500 0.871 (multiplicity 2)
P 0.500 0.500 0.500 (multiplicity 1)
Rh 0.000 0.000 0.000 (multiplicity 1)
Rh 0.000 0.500 0.654 (multiplicity 2)
Rh 0.500 0.500 0.000 (multiplicity 1)

calculated total energy: -0.287 Ha/atom

## BAs3Se (PBE)

Data for BAs3Se after structural relaxation.

abc: 5.022 5.022 5.022
angles: 90.00 90.00 90.00
Space group Pm-3m (No. 221)
Asymmetric unit:
B 0.000 0.000 0.000 (multiplicity 1)
As 0.000 0.500 0.500 (multiplicity 3)
Se 0.500 0.500 0.500 (multiplicity 1)

ΔE to the lowest computed polymorph: 932 meV/atom
ΔE_f (raw): 1.735 eV per atom

## CrNiAs2 (PBE)

Data for CrNiAs2 after structural relaxation.

abc: 3.248 3.478 10.508
angles: 90.00 90.00 90.00
Space group Imm2 (No. 44)
Asymmetric unit:
Cr 0.000 0.000 0.000 (multiplicity 2)
Ni 0.000 0.500 0.735 (multiplicity 2)
As 0.000 0.000 0.414 (multiplicity 2)
As 0.000 0.500 0.167 (multiplicity 2)

ΔE to the lowest computed polymorph: 101 meV/atom

## SmIn3Pt (PBE)

Data for SmIn3Pt after structural relaxation.

abc: 9.816 9.816 9.816
angles: 90.00 90.00 90.00
Space group Pm-3n (No. 223)
Asymmetric unit:
Sm 0.000 0.000 0.000 (multiplicity 2)
Sm 0.000 0.250 0.500 (multiplicity 6)
In 0.000 0.318 0.152 (multiplicity 24)
Pt 0.250 0.250 0.250 (multiplicity 8)

ΔE to the lowest computed polymorph: 0 meV/atom